Computed, not measured: an optimized crystal structure of RbAs2Rh2 at the PBEsol level of DFT.

Formation enthalpy at 0 K: -0.595 eV/atom
Fermi-level density of states: 1.25 states/eV/f.u.
Crystal system: tetragonal

a = 3.976 Å, b = 3.976 Å, c = 7.451 Å
α = 105.48°, β = 105.48°, γ = 90.00°
Positions (direct):
Rh 0.750 0.250 0.500
Rb 0.000 0.000 0.000
As 0.650 0.650 0.300
Rh 0.250 0.750 0.500
As 0.350 0.350 0.700

Computed, not measured: an optimized crystal structure of SbP2S2 at the PBEsol level of DFT.

Energy above the lowest structure with this stoichiometry: 0.000 eV/atom
Fermi-level density of states: 2.87 states/eV/f.u.
Uncorrected formation energy: 7.80 kcal/mol of atoms
Crystal system: tetragonal

a = 4.601 Å, b = 4.444 Å, c = 4.444 Å
α = 90.00°, β = 90.00°, γ = 90.00°
Positions (direct):
P 0.000 0.000 0.000
S 0.000 0.000 0.500
S 0.000 0.500 0.000
P 0.500 0.000 0.000
Sb 0.500 0.500 0.500

Computed, not measured: an optimized crystal structure of HgRh3I at the PBEsol level of DFT.

Fermi-level density of states: 10.69 states/eV/f.u.
Uncorrected formation energy: 39.34 kcal/mol of atoms
Crystal system: cubic

a = 4.919 Å, b = 4.919 Å, c = 4.919 Å
α = 90.00°, β = 90.00°, γ = 90.00°
Last column: magnetic moment on the atom in μB.
Positions (direct):
Rh 0.500 0.000 0.000  0.90
I 0.500 0.500 0.500  0.13
Rh 0.000 0.500 0.000  0.90
Rh 0.000 0.000 0.500  0.90
Hg 0.000 0.000 0.000  0.01

Computed, not measured: an optimized crystal structure of FeSnRh2Au at the PBEsol level of DFT.

Formation enthalpy at 0 K: 1.351 eV/atom
Fermi-level density of states: 8.64 states/eV/f.u.
Crystal system: tetragonal

a = 4.513 Å, b = 4.843 Å, c = 4.843 Å
α = 90.00°, β = 90.00°, γ = 90.00°
Last column: magnetic moment on the atom in μB.
Positions (direct):
Rh 0.000 0.000 0.500  0.19
Fe 0.500 0.000 0.000  3.17
Au 0.000 0.000 0.000  0.15
Sn 0.500 0.500 0.500  -0.03
Rh 0.000 0.500 0.000  0.19